1.
Below is Sr2GeIr2 after structural relaxation, with properties calculated at the PBE level.

## Properties
symmetry: No. 127
formation energy from the elements: -234 meV per atom
crystal system: tetragonal
final energy: -5.37 eV per atom

CIF file:
```
data_Sr2GeIr2
_space_group_name_H-M_alt 'P 1'
_space_group_IT_number 1
_cell_length_a 6.7379
_cell_length_b 6.7379
_cell_length_c 4.9735
_cell_angle_alpha 90.00
_cell_angle_beta 90.00
_cell_angle_gamma 90.00
loop_
_space_group_symop_operation_xyz
'x,y,z'
loop_
_atom_site_label
_atom_site_type_symbol
_atom_site_fract_x
_atom_site_fract_y
_atom_site_fract_z
Ir1 Ir 0.3664 0.8664 0.0000
Ir2 Ir 0.8664 0.6336 0.0000
Ir3 Ir 0.1336 0.3664 0.0000
Ir4 Ir 0.6336 0.1336 0.0000
Sr1 Sr 0.3221 0.1779 0.5000
Sr2 Sr 0.8221 0.3221 0.5000
Sr3 Sr 0.1779 0.6779 0.5000
Sr4 Sr 0.6779 0.8221 0.5000
Ge1 Ge 0.0000 0.0000 0.0000
Ge2 Ge 0.5000 0.5000 0.0000
```


2.
Below is TbCe2PaAs4 after structural relaxation, with properties calculated at the PBE level.

## Properties
symmetry: No. 10
formation energy from the elements: -1362 meV per atom
crystal system: monoclinic
final energy: -6.94 eV per atom

CIF file:
```
data_TbCe2PaAs4
_space_group_name_H-M_alt 'P 1'
_space_group_IT_number 1
_cell_length_a 4.1657
_cell_length_b 7.1989
_cell_length_c 7.2321
_cell_angle_alpha 109.44
_cell_angle_beta 90.00
_cell_angle_gamma 90.00
loop_
_space_group_symop_operation_xyz
'x,y,z'
loop_
_atom_site_label
_atom_site_type_symbol
_atom_site_fract_x
_atom_site_fract_y
_atom_site_fract_z
Ce1 Ce 0.5000 0.0000 0.5000
Ce2 Ce 0.0000 0.5000 0.5000
As1 As 0.0000 0.2550 0.7589
As2 As 0.0000 0.7450 0.2411
As3 As 0.5000 0.7486 0.7569
As4 As 0.5000 0.2514 0.2431
Tb1 Tb 0.0000 0.0000 0.0000
Pa1 Pa 0.5000 0.5000 0.0000
```


3.
Below is LiMgTlIn after structural relaxation, with properties calculated at the PBE level.

## Properties
symmetry: No. 216
formation energy from the elements: -147 meV per atom
crystal system: cubic
final energy: -2.30 eV per atom

CIF file:
```
data_LiMgTlIn
_space_group_name_H-M_alt 'P 1'
_space_group_IT_number 1
_cell_length_a 5.0706
_cell_length_b 5.0706
_cell_length_c 5.0706
_cell_angle_alpha 60.00
_cell_angle_beta 60.00
_cell_angle_gamma 60.00
loop_
_space_group_symop_operation_xyz
'x,y,z'
loop_
_atom_site_label
_atom_site_type_symbol
_atom_site_fract_x
_atom_site_fract_y
_atom_site_fract_z
Mg1 Mg 0.5000 0.5000 0.5000
Tl1 Tl 0.2500 0.2500 0.2500
Li1 Li 0.0000 0.0000 0.0000
In1 In 0.7500 0.7500 0.7500
```


4.
Below is PrGaIr2C after structural relaxation, with properties calculated at the PBE level.

## Properties
symmetry: No. 63
formation energy from the elements: -520 meV per atom
crystal system: orthorhombic
final energy: -7.47 eV per atom

CIF file:
```
data_PrGaIr2C
_space_group_name_H-M_alt 'P 1'
_space_group_IT_number 1
_cell_length_a 4.0818
_cell_length_b 5.9782
_cell_length_c 7.4158
_cell_angle_alpha 90.00
_cell_angle_beta 90.00
_cell_angle_gamma 109.96
loop_
_space_group_symop_operation_xyz
'x,y,z'
loop_
_atom_site_label
_atom_site_type_symbol
_atom_site_fract_x
_atom_site_fract_y
_atom_site_fract_z
Pr1 Pr 0.5536 0.1071 0.2500
Pr2 Pr 0.4464 0.8929 0.7500
Ga1 Ga 0.7279 0.4558 0.7500
Ga2 Ga 0.2721 0.5442 0.2500
Ir1 Ir 0.1619 0.3239 0.9439
Ir2 Ir 0.8381 0.6761 0.0561
Ir3 Ir 0.8381 0.6761 0.4439
Ir4 Ir 0.1619 0.3239 0.5561
C1 C 0.0000 0.0000 0.0000
C2 C 0.0000 0.0000 0.5000
```


Number 1: theoretical density 9.3 g/cm3. Number 2: theoretical density 7.9 g/cm3. Number 3: theoretical density 6.3 g/cm3. Number 4: theoretical density 11.9 g/cm3.